No. 1
# AgSO2F | Alexandria via LeMat-Bulk | GGA-PBEsol | relaxed
# Fermi-level density of states: 0.525 states/eV/cell
# formation energy (no corrections): -0.294 eV per atom
data_AgSO2F
_cell_length_a 3.570
_cell_length_b 3.570
_cell_length_c 4.517
_cell_angle_alpha 90.00
_cell_angle_beta 90.00
_cell_angle_gamma 90.00
_space_group_name_H-M_alt 'P 4/m m m'
_space_group_IT_number 123
_space_group_name_Hall '-P 4 2'
loop_
_atom_site_label
_atom_site_type_symbol
_atom_site_fract_x
_atom_site_fract_y
_atom_site_fract_z
Ag1 Ag 0.000 0.000 0.000
S1 S 0.500 0.500 0.500
O1 O 0.000 0.500 0.500
F1 F 0.500 0.500 0.000

No. 2
# AgSbSO2F6 | Alexandria via LeMat-Bulk | GGA-PBEsol | relaxed
# Fermi-level density of states: 0.000 states/eV/cell
# formation energy (no corrections): -1.753 eV per atom
data_AgSbSO2F6
_cell_length_a 7.583
_cell_length_b 8.062
_cell_length_c 13.237
_cell_angle_alpha 90.00
_cell_angle_beta 124.15
_cell_angle_gamma 90.00
_space_group_name_H-M_alt 'P 1 21/c 1'
_space_group_IT_number 14
loop_
_space_group_symop_operation_xyz
'x,y,z'
'-x,-y,-z'
'-x,y+1/2,-z+1/2'
'x,-y+1/2,z+1/2'
loop_
_atom_site_label
_atom_site_type_symbol
_atom_site_fract_x
_atom_site_fract_y
_atom_site_fract_z
Ag1 Ag 0.220 0.245 0.473
Sb1 Sb 0.129 0.750 0.375
S1 S 0.495 0.597 0.228
O1 O 0.368 0.067 0.141
O2 O 0.425 0.051 0.653
F1 F 0.073 0.705 0.997
F2 F 0.077 0.520 0.383
F3 F 0.167 0.217 0.750
F4 F 0.175 0.710 0.249
F5 F 0.187 0.519 0.875
F6 F 0.426 0.718 0.498

No. 3
# ScAgO2F | Alexandria via LeMat-Bulk | GGA-PBEsol | relaxed
# Fermi-level density of states: 2.025 states/eV/cell
# formation energy (no corrections): -1.875 eV per atom
data_ScAgO2F
_cell_length_a 4.072
_cell_length_b 4.072
_cell_length_c 3.999
_cell_angle_alpha 90.00
_cell_angle_beta 90.00
_cell_angle_gamma 90.00
_space_group_name_H-M_alt 'P 4/m m m'
_space_group_IT_number 123
_space_group_name_Hall '-P 4 2'
loop_
_atom_site_label
_atom_site_type_symbol
_atom_site_fract_x
_atom_site_fract_y
_atom_site_fract_z
Sc1 Sc 0.000 0.000 0.000
Ag1 Ag 0.500 0.500 0.500
O1 O 0.000 0.500 0.000
F1 F 0.000 0.000 0.500

No. 4
# SiAgOF2 | Alexandria via LeMat-Bulk | GGA-PBEsol | relaxed
# Fermi-level density of states: 1.364 states/eV/cell
# formation energy (no corrections): -0.343 eV per atom
data_SiAgOF2
_cell_length_a 4.181
_cell_length_b 4.181
_cell_length_c 4.077
_cell_angle_alpha 90.00
_cell_angle_beta 90.00
_cell_angle_gamma 90.00
_space_group_name_H-M_alt 'P 4/m m m'
_space_group_IT_number 123
_space_group_name_Hall '-P 4 2'
loop_
_atom_site_label
_atom_site_type_symbol
_atom_site_fract_x
_atom_site_fract_y
_atom_site_fract_z
Si1 Si 0.000 0.000 0.000
Ag1 Ag 0.500 0.500 0.500
O1 O 0.500 0.500 0.000
F1 F 0.000 0.500 0.500

Values of magnetic moment, in order: 0.0, 0.0, 1.0, 0.0, all in μB per cell.